The following is a DFT calculation (PBE) of an optimized crystal structure of LaErCuPd.

Cell: 4.608 5.665 5.665 Å, 39.77 90.00 90.00°
Atoms (fractional coordinates):
La  0.000  0.000  0.000
Er  0.500  0.276  0.276
Cu  0.000  0.721  0.721
Pd  0.500  0.568  0.568

Computed properties:
polymorph energy (0 for the lowest one) = 0 kJ/mol of formula units
energy relative to the elements = -52 kJ per mole of atoms